Record 1
AuCS2: relaxed, PBE.

Unit cell a=5.221 b=5.221 c=9.946 alpha=90.00 beta=90.00 gamma=90.00
Space group I-42d (No. 122)
Symmetry-distinct sites (fractional):
Au  0.000  0.000  0.000 [4 per cell]
C  0.000  0.000  0.500 [4 per cell]
S  0.162  0.250  0.625 [8 per cell]

Calculated values
As for the energy above the most stable polymorph in this dataset: 401 meV/atom.

Record 2
Ca2CBr: relaxed, PBE.

Unit cell a=6.903 b=6.903 c=6.903 alpha=90.00 beta=90.00 gamma=90.00
Space group Fm-3m (No. 225)
Symmetry-distinct sites (fractional):
Ca  0.250  0.250  0.250 [8 per cell]
C  0.000  0.000  0.000 [4 per cell]
Br  0.000  0.000  0.500 [4 per cell]

Calculated values
The total energy comes out at -3.6602 eV/atom.